## Pm4AgHg3 (GGA-PBE)

Data for a geometry-optimized Pm4AgHg3 structure.

Cell lengths 3.7890, 3.7890, 15.1822 Å; angles 90.00, 90.00, 90.00 degrees
Sites, in units of the cell vectors:
Ag 0.5000 0.5000 0.0000
Hg 0.5000 0.5000 0.2473
Hg 0.5000 0.5000 0.5000
Hg 0.5000 0.5000 0.7527
Pm 0.0000 0.0000 0.1216
Pm 0.0000 0.0000 0.6263
Pm 0.0000 0.0000 0.3737
Pm 0.0000 0.0000 0.8784

Properties
Symmetry: P4/mmm (123)
ΔE_f: -0.42 eV per atom
ΔE to the lowest computed polymorph: 0 meV per atom